DFT (PBE-GGA) results for Ac3BiSe2 after structural relaxation.

a = 4.8441 Å, b = 15.4100 Å, c = 11.5168 Å
α = 90.00°, β = 90.00°, γ = 90.00°
Last column: nearest neighbours and their distance in Å.
Space group Cmcm (No. 63)
Asymmetric unit:
Ac  0.0000  0.0964  0.2500  4 Se 2.96-3.24
Ac  0.0000  0.3570  0.0560  3 Se 2.99-3.34
Bi  0.0000  0.2416  0.7500  6 Ac 3.48-3.63
Se  0.0000  0.0000  0.0000  6 Ac 3.24-3.34
Se  0.0000  0.4855  0.2500  4 Ac 2.96-2.99

## Properties
E: -0.192 hartree per atom
Relative energy among the computed polymorphs: 0 meV/atom